1.
VASP calculation (GGA-PBE) on CeDy8Ho6 after structural relaxation.

a = 8.083 Å, b = 8.083 Å, c = 8.083 Å
α = 73.39°, β = 73.39°, γ = 73.39°
Atoms (fractional coordinates):
Ce 0.000 0.000 0.000
Dy 0.071 0.771 0.647
Dy 0.229 0.353 0.929
Dy 0.353 0.929 0.229
Dy 0.413 0.413 0.413
Dy 0.587 0.587 0.587
Dy 0.647 0.071 0.771
Dy 0.771 0.647 0.071
Dy 0.929 0.229 0.353
Ho 0.071 0.614 0.286
Ho 0.286 0.071 0.614
Ho 0.386 0.714 0.929
Ho 0.614 0.286 0.071
Ho 0.714 0.929 0.386
Ho 0.929 0.386 0.714

Results
- total energy (eV per atom) = -4.48

---

2.
VASP calculation (GGA-PBE) on PbSe2Cl after structural relaxation.

a = 7.328 Å, b = 7.328 Å, c = 7.328 Å
α = 33.27°, β = 33.27°, γ = 33.27°
Atoms (fractional coordinates):
Pb 0.000 0.000 0.000
Se 0.256 0.256 0.256
Se 0.744 0.744 0.744
Cl 0.500 0.500 0.500

Results
- energy relative to the elements, uncorrected (eV/f.u.) = 0.0
- total energy (eV per atom) = -3.12

---

3.
VASP calculation (GGA-PBE) on GdPuSiAg after structural relaxation.

a = 5.088 Å, b = 5.088 Å, c = 5.088 Å
α = 60.00°, β = 60.00°, γ = 60.00°
Atoms (fractional coordinates):
Gd 0.000 0.000 0.000
Pu 0.500 0.500 0.500
Si 0.250 0.250 0.250
Ag 0.750 0.750 0.750

Results
- energy relative to the elements, uncorrected (eV/f.u.) = -1.1
- total energy (eV per atom) = -9.45